[1]
This record from Alexandria via LeMat-Bulk describes ZrCo3F after structural relaxation. The functional is GGA+U.

## Properties
* E above lowest polymorph: 1255 meV per atom
* DFT total energy: -18.4 eV for the cell shown

abc: 4.657 4.657 4.657
angles: 90.00 90.00 90.00
Space group Pm-3m (No. 221)
Asymmetric unit:
Zr1 0.000 0.000 0.000 x1
Co1 0.000 0.000 0.500 x3
F1 0.500 0.500 0.500 x1

***

[2]
This record from Alexandria via LeMat-Bulk describes Zr2CoF after structural relaxation. The functional is GGA+U.

## Properties
* E above lowest polymorph: 61 meV per atom
* DFT total energy: -102.3 eV for the cell shown

abc: 6.330 6.330 6.330
angles: 90.00 90.00 90.00
Space group Fm-3m (No. 225)
Asymmetric unit:
Zr1 0.250 0.250 0.250 x8
Co1 0.000 0.000 0.000 x4
F1 0.000 0.000 0.500 x4